The following is a PBE calculation of HgTePbO after structural relaxation, from the Open Quantum Materials Database.

Summary:
Calculated total energy   -3.431 eV/atom

a b c (Å): 6.575 4.234 15.313
angles (deg): 90.00 90.00 90.00
Fractional coordinates of all 16 atoms:
Hg 0.649 0.250 0.195
Hg 0.149 0.250 0.305
Hg 0.851 0.750 0.695
Hg 0.351 0.750 0.805
O 0.280 0.250 0.171
O 0.780 0.250 0.329
O 0.220 0.750 0.671
O 0.720 0.750 0.829
Pb 0.250 0.750 0.094
Pb 0.750 0.750 0.406
Pb 0.250 0.250 0.594
Pb 0.750 0.250 0.906
Te 0.759 0.750 0.082
Te 0.259 0.750 0.418
Te 0.741 0.250 0.582
Te 0.241 0.250 0.918


The following is a PBE calculation of HgTePbO after structural relaxation, from the Open Quantum Materials Database.

Summary:
Calculated total energy   -3.201 eV/atom

a b c (Å): 4.507 6.657 7.207
angles (deg): 90.00 71.78 90.00
Fractional coordinates of all 8 atoms:
Hg 0.401 0.750 0.198
Hg 0.599 0.250 0.802
O 0.000 0.000 0.000
O 0.000 0.500 0.000
Pb 0.896 0.250 0.208
Pb 0.104 0.750 0.792
Te 0.760 0.750 0.480
Te 0.240 0.250 0.520


The following is a PBE calculation of HgTePbO after structural relaxation, from the Open Quantum Materials Database.

Summary:
Calculated total energy   -3.437 eV/atom

a b c (Å): 8.177 8.035 6.611
angles (deg): 90.00 90.00 90.00
Fractional coordinates of all 16 atoms:
Hg 0.613 0.293 0.055
Hg 0.387 0.793 0.445
Hg 0.887 0.707 0.555
Hg 0.113 0.207 0.945
O 0.636 0.080 0.239
O 0.364 0.580 0.261
O 0.864 0.920 0.739
O 0.136 0.420 0.761
Pb 0.726 0.849 0.031
Pb 0.274 0.349 0.469
Pb 0.774 0.151 0.531
Pb 0.226 0.651 0.969
Te 0.073 0.990 0.241
Te 0.927 0.490 0.259
Te 0.427 0.010 0.741
Te 0.573 0.510 0.759


The following is a PBE calculation of HgTePbO after structural relaxation, from the Open Quantum Materials Database.

Summary:
Calculated total energy   -3.317 eV/atom

a b c (Å): 4.158 4.158 11.088
angles (deg): 90.00 90.00 90.00
Fractional coordinates of all 8 atoms:
Hg 0.750 0.250 0.000
Hg 0.250 0.750 0.000
O 0.250 0.250 0.423
O 0.750 0.750 0.577
Pb 0.750 0.750 0.374
Pb 0.250 0.250 0.626
Te 0.250 0.250 0.224
Te 0.750 0.750 0.776


The following is a PBE calculation of HgTePbO after structural relaxation, from the Open Quantum Materials Database.

Summary:
Calculated total energy   -3.393 eV/atom

a b c (Å): 6.531 10.293 6.494
angles (deg): 90.00 90.00 90.00
Fractional coordinates of all 16 atoms:
Hg 0.449 0.087 0.027
Hg 0.949 0.913 0.027
Hg 0.051 0.087 0.527
Hg 0.551 0.913 0.527
O 0.069 0.096 0.120
O 0.569 0.904 0.120
O 0.431 0.096 0.620
O 0.931 0.904 0.620
Pb 0.996 0.306 0.056
Pb 0.496 0.694 0.056
Pb 0.504 0.306 0.556
Pb 0.004 0.694 0.556
Te 0.495 0.349 0.046
Te 0.995 0.651 0.046
Te 0.005 0.349 0.546
Te 0.505 0.651 0.546


The following is a PBE calculation of HgTePbO after structural relaxation, from the Open Quantum Materials Database.

Summary:
Calculated total energy   -3.084 eV/atom

a b c (Å): 4.882 4.882 8.803
angles (deg): 90.00 90.00 90.00
Fractional coordinates of all 8 atoms:
Hg 0.750 0.750 0.254
Hg 0.250 0.250 0.746
O 0.250 0.250 0.492
O 0.750 0.750 0.508
Pb 0.750 0.250 0.000
Pb 0.250 0.750 0.000
Te 0.250 0.250 0.277
Te 0.750 0.750 0.723


The following is a PBE calculation of HgTePbO after structural relaxation, from the Open Quantum Materials Database.

Summary:
Calculated total energy   -3.436 eV/atom

a b c (Å): 8.059 8.059 6.561
angles (deg): 90.00 90.00 30.25
Fractional coordinates of all 8 atoms:
Hg 0.941 0.941 0.408
Hg 0.059 0.059 0.908
O 0.925 0.925 0.015
O 0.075 0.075 0.515
Pb 0.650 0.650 0.479
Pb 0.350 0.350 0.979
Te 0.327 0.327 0.490
Te 0.673 0.673 0.990


The following is a PBE calculation of HgTePbO after structural relaxation, from the Open Quantum Materials Database.

Summary:
Calculated total energy   -3.553 eV/atom

a b c (Å): 4.177 4.177 12.938
angles (deg): 90.00 90.00 90.00
Fractional coordinates of all 8 atoms:
Hg 0.750 0.750 0.103
Hg 0.250 0.250 0.897
O 0.750 0.250 0.500
O 0.250 0.750 0.500
Pb 0.250 0.250 0.413
Pb 0.750 0.750 0.587
Te 0.250 0.250 0.134
Te 0.750 0.750 0.866